LiIrO3, relaxed, DFT PBE; E = -124.79 eV/cell; calculated volume = 9.5 Å³/atom
1.0
5.012 0.000 0.000
0.000 5.170 0.000
0.000 0.000 7.303
Ir Li O
4 4 12
Direct
0.500 0.000 0.000
0.000 0.500 0.000
0.500 0.000 0.500
0.000 0.500 0.500
0.003 0.052 0.250
0.497 0.552 0.250
0.503 0.448 0.750
0.997 0.948 0.750
0.668 0.327 0.070
0.832 0.827 0.070
0.135 0.432 0.250
0.365 0.932 0.250
0.668 0.327 0.430
0.832 0.827 0.430
0.168 0.173 0.570
0.332 0.673 0.570
0.635 0.068 0.750
0.865 0.568 0.750
0.168 0.173 0.930
0.332 0.673 0.930


PrScCu2As4, relaxed, DFT PBE; E = -43.17 eV/cell; calculated volume = 18.7 Å³/atom
1.0
3.904 0.000 0.000
0.000 3.904 0.000
0.000 0.000 9.842
As Cu Pr Sc
4 2 1 1
Direct
0.500 0.500 0.352
0.000 0.000 0.671
0.500 0.000 0.981
0.000 0.500 0.981
0.500 0.000 0.511
0.000 0.500 0.511
0.000 0.000 0.232
0.500 0.500 0.760